VASP calculation (GGA+U) on a geometry-optimized Cs2MoClF6 structure.

Lattice parameters (Å, degrees): 8.4420 8.4234 8.4615 43.39 38.38 43.90
Site moments in Bohr magnetons follow the coordinates.
Sites, in units of the cell vectors:
1 Cs 0.5249 0.5799 0.2561  0.00
2 Cs 0.1075 0.0524 0.8471  0.00
3 Mo 0.3161 0.3162 0.0515  0.94
4 Cl 0.8162 0.8161 0.5516  0.07
5 F 0.4283 0.3382 0.1665  0.03
6 F 0.1885 0.0579 0.3981  0.00
7 F 0.9714 0.5700 0.1786  0.01
8 F 0.4438 0.5744 0.7048  0.00
9 F 0.6609 0.0623 0.9244  0.01
10 F 0.2040 0.2942 0.9364  0.03

total energy = -46.60 eV/cell
calculated volume = 240 Å³ per cell